# GGA-PBE Sr2ReMo, relaxed
data_Sr2ReMo
_chemical_formula_sum 'Sr2 Re1 Mo1'
_cell_length_a 4.0513
_cell_length_b 4.0513
_cell_length_c 5.3645
_cell_angle_alpha 90.00
_cell_angle_beta 90.00
_cell_angle_gamma 90.00
_symmetry_space_group_name_H-M 'P 4/m m m'
_symmetry_Int_Tables_number 123
_symmetry_space_group_name_Hall '-P 4 2'
loop_
_atom_site_label
_atom_site_type_symbol
_atom_site_fract_x
_atom_site_fract_y
_atom_site_fract_z
_atom_site_occupancy
Sr1 Sr 0.0000 0.5000 0.0000 1
Re1 Re 0.0000 0.0000 0.5000 1
Mo1 Mo 0.5000 0.5000 0.5000 1
# ΔE to the lowest computed polymorph   0.7803 eV/atom
# M_tot   0.00 Bohr magnetons per cell
# Crystal system   tetragonal
# ΔH_f (0 K)   1.2364 eV per atom

# GGA-PBE Sr2ReMo, relaxed
data_Sr2ReMo
_chemical_formula_sum 'Sr2 Re1 Mo1'
_cell_length_a 5.3828
_cell_length_b 5.3828
_cell_length_c 3.6852
_cell_angle_alpha 90.00
_cell_angle_beta 90.00
_cell_angle_gamma 90.00
_symmetry_space_group_name_H-M 'P 4/m m m'
_symmetry_Int_Tables_number 123
_symmetry_space_group_name_Hall '-P 4 2'
loop_
_atom_site_label
_atom_site_type_symbol
_atom_site_fract_x
_atom_site_fract_y
_atom_site_fract_z
_atom_site_occupancy
Sr1 Sr 0.0000 0.5000 0.0000 1
Re1 Re 0.0000 0.0000 0.5000 1
Mo1 Mo 0.5000 0.5000 0.5000 1
# ΔE to the lowest computed polymorph   1.1805 eV/atom
# M_tot   5.71 Bohr magnetons per cell
# Crystal system   tetragonal
# ΔH_f (0 K)   1.6367 eV per atom

# GGA-PBE SrRe2Mo, relaxed
data_SrRe2Mo
_chemical_formula_sum 'Sr4 Re8 Mo4'
_cell_length_a 6.5555
_cell_length_b 6.5555
_cell_length_c 6.5555
_cell_angle_alpha 90.00
_cell_angle_beta 90.00
_cell_angle_gamma 90.00
_symmetry_space_group_name_H-M 'F -4 3 m'
_symmetry_Int_Tables_number 216
_symmetry_space_group_name_Hall 'F -4 2 3'
loop_
_atom_site_label
_atom_site_type_symbol
_atom_site_fract_x
_atom_site_fract_y
_atom_site_fract_z
_atom_site_occupancy
Sr1 Sr 0.0000 0.0000 0.0000 1
Re1 Re 0.0000 0.0000 0.5000 1
Re2 Re 0.2500 0.2500 0.2500 1
Mo1 Mo 0.2500 0.2500 0.7500 1
# ΔE to the lowest computed polymorph   0.3446 eV/atom
# M_tot   0.00 Bohr magnetons per cell
# Crystal system   cubic
# ΔH_f (0 K)   1.0079 eV per atom

# GGA-PBE SrRe2Mo, relaxed
data_SrRe2Mo
_chemical_formula_sum 'Sr1 Re2 Mo1'
_cell_length_a 2.8565
_cell_length_b 4.2384
_cell_length_c 6.8576
_cell_angle_alpha 90.00
_cell_angle_beta 101.37
_cell_angle_gamma 90.00
_symmetry_space_group_name_H-M 'P 1 2/m 1'
_symmetry_Int_Tables_number 10
_symmetry_space_group_name_Hall '-P 2y'
loop_
_atom_site_label
_atom_site_type_symbol
_atom_site_fract_x
_atom_site_fract_y
_atom_site_fract_z
_atom_site_occupancy
Sr1 Sr 0.0000 0.0000 0.0000 1
Re1 Re 0.4053 0.5000 0.6722 1
Mo1 Mo 0.0000 0.0000 0.5000 1
# ΔE to the lowest computed polymorph   0.0854 eV/atom
# M_tot   0.00 Bohr magnetons per cell
# Crystal system   monoclinic
# ΔH_f (0 K)   0.7487 eV per atom

# GGA-PBE SrRe2Mo, relaxed
data_SrRe2Mo
_chemical_formula_sum 'Sr2 Re4 Mo2'
_cell_length_a 3.2267
_cell_length_b 4.5778
_cell_length_c 9.7554
_cell_angle_alpha 90.00
_cell_angle_beta 90.00
_cell_angle_gamma 90.00
_symmetry_space_group_name_H-M 'C m m m'
_symmetry_Int_Tables_number 65
_symmetry_space_group_name_Hall '-C 2 2'
loop_
_atom_site_label
_atom_site_type_symbol
_atom_site_fract_x
_atom_site_fract_y
_atom_site_fract_z
_atom_site_occupancy
Sr1 Sr 0.0000 0.0000 0.0000 1
Re1 Re 0.0000 0.5000 0.2831 1
Mo1 Mo 0.0000 0.0000 0.5000 1
# ΔE to the lowest computed polymorph   0.0664 eV/atom
# M_tot   0.00 Bohr magnetons per cell
# Crystal system   orthorhombic
# ΔH_f (0 K)   0.7298 eV per atom

# GGA-PBE SrReMo3, relaxed
data_SrReMo3
_chemical_formula_sum 'Sr1 Re1 Mo3'
_cell_length_a 4.8951
_cell_length_b 4.8951
_cell_length_c 4.8951
_cell_angle_alpha 90.00
_cell_angle_beta 90.00
_cell_angle_gamma 90.00
_symmetry_space_group_name_H-M 'P m -3 m'
_symmetry_Int_Tables_number 221
_symmetry_space_group_name_Hall '-P 4 2 3'
loop_
_atom_site_label
_atom_site_type_symbol
_atom_site_fract_x
_atom_site_fract_y
_atom_site_fract_z
_atom_site_occupancy
Sr1 Sr 0.0000 0.0000 0.0000 1
Re1 Re 0.5000 0.5000 0.5000 1
Mo1 Mo 0.0000 0.5000 0.5000 1
# ΔE to the lowest computed polymorph   0.0000 eV/atom
# M_tot   2.98 Bohr magnetons per cell
# Crystal system   cubic
# ΔH_f (0 K)   1.2851 eV per atom

# GGA-PBE SrRe2Mo, relaxed
data_SrRe2Mo
_chemical_formula_sum 'Sr1 Re2 Mo1'
_cell_length_a 3.1981
_cell_length_b 3.1981
_cell_length_c 7.7192
_cell_angle_alpha 90.00
_cell_angle_beta 90.00
_cell_angle_gamma 90.00
_symmetry_space_group_name_H-M 'P 4/m m m'
_symmetry_Int_Tables_number 123
_symmetry_space_group_name_Hall '-P 4 2'
loop_
_atom_site_label
_atom_site_type_symbol
_atom_site_fract_x
_atom_site_fract_y
_atom_site_fract_z
_atom_site_occupancy
Sr1 Sr 0.0000 0.0000 0.0000 1
Re1 Re 0.5000 0.5000 0.3183 1
Mo1 Mo 0.0000 0.0000 0.5000 1
# ΔE to the lowest computed polymorph   0.0000 eV/atom
# M_tot   0.00 Bohr magnetons per cell
# Crystal system   tetragonal
# ΔH_f (0 K)   0.6633 eV per atom

# GGA-PBE Sr2ReMo, relaxed
data_Sr2ReMo
_chemical_formula_sum 'Sr8 Re4 Mo4'
_cell_length_a 7.5052
_cell_length_b 7.5052
_cell_length_c 7.5052
_cell_angle_alpha 90.00
_cell_angle_beta 90.00
_cell_angle_gamma 90.00
_symmetry_space_group_name_H-M 'F m -3 m'
_symmetry_Int_Tables_number 225
_symmetry_space_group_name_Hall '-F 4 2 3'
loop_
_atom_site_label
_atom_site_type_symbol
_atom_site_fract_x
_atom_site_fract_y
_atom_site_fract_z
_atom_site_occupancy
Sr1 Sr 0.2500 0.2500 0.2500 1
Re1 Re 0.0000 0.0000 0.0000 1
Mo1 Mo 0.0000 0.0000 0.5000 1
# ΔE to the lowest computed polymorph   1.1782 eV/atom
# M_tot   21.84 Bohr magnetons per cell
# Crystal system   cubic
# ΔH_f (0 K)   1.6344 eV per atom

# GGA-PBE SrRe2TcMo, relaxed
data_SrRe2TcMo
_chemical_formula_sum 'Sr1 Re2 Tc1 Mo1'
_cell_length_a 4.7427
_cell_length_b 4.7427
_cell_length_c 5.2025
_cell_angle_alpha 90.00
_cell_angle_beta 90.00
_cell_angle_gamma 90.00
_symmetry_space_group_name_H-M 'P 4/m m m'
_symmetry_Int_Tables_number 123
_symmetry_space_group_name_Hall '-P 4 2'
loop_
_atom_site_label
_atom_site_type_symbol
_atom_site_fract_x
_atom_site_fract_y
_atom_site_fract_z
_atom_site_occupancy
Sr1 Sr 0.0000 0.0000 0.0000 1
Re1 Re 0.0000 0.5000 0.5000 1
Tc1 Tc 0.5000 0.5000 0.0000 1
Mo1 Mo 0.0000 0.0000 0.5000 1
# M_tot   2.70 Bohr magnetons per cell
# Crystal system   tetragonal
# ΔH_f (0 K)   2.2418 eV per atom

# GGA-PBE SrRe2TeMo, relaxed
data_SrRe2TeMo
_chemical_formula_sum 'Sr1 Re2 Te1 Mo1'
_cell_length_a 4.7387
_cell_length_b 4.7387
_cell_length_c 5.7841
_cell_angle_alpha 90.00
_cell_angle_beta 90.00
_cell_angle_gamma 90.00
_symmetry_space_group_name_H-M 'P 4/m m m'
_symmetry_Int_Tables_number 123
_symmetry_space_group_name_Hall '-P 4 2'
loop_
_atom_site_label
_atom_site_type_symbol
_atom_site_fract_x
_atom_site_fract_y
_atom_site_fract_z
_atom_site_occupancy
Sr1 Sr 0.0000 0.0000 0.0000 1
Re1 Re 0.0000 0.5000 0.5000 1
Te1 Te 0.5000 0.5000 0.0000 1
Mo1 Mo 0.0000 0.0000 0.5000 1
# M_tot   0.00 Bohr magnetons per cell
# Crystal system   tetragonal
# Energy relative to the elements, uncorrected   1484 meV per atom

# GGA-PBE SrYReMo2, relaxed
data_SrYReMo2
_chemical_formula_sum 'Sr1 Y1 Re1 Mo2'
_cell_length_a 4.8501
_cell_length_b 4.8501
_cell_length_c 5.4912
_cell_angle_alpha 90.00
_cell_angle_beta 90.00
_cell_angle_gamma 90.00
_symmetry_space_group_name_H-M 'P 4/m m m'
_symmetry_Int_Tables_number 123
_symmetry_space_group_name_Hall '-P 4 2'
loop_
_atom_site_label
_atom_site_type_symbol
_atom_site_fract_x
_atom_site_fract_y
_atom_site_fract_z
_atom_site_occupancy
Sr1 Sr 0.0000 0.0000 0.0000 1
Y1 Y 0.5000 0.5000 0.0000 1
Re1 Re 0.0000 0.0000 0.5000 1
Mo1 Mo 0.0000 0.5000 0.5000 1
# M_tot   0.00 Bohr magnetons per cell
# Crystal system   tetragonal
# ΔH_f (0 K)   1.1817 eV per atom

# GGA-PBE SrZnRe2Mo, relaxed
data_SrZnRe2Mo
_chemical_formula_sum 'Sr1 Zn1 Re2 Mo1'
_cell_length_a 4.7689
_cell_length_b 4.7689
_cell_length_c 5.1102
_cell_angle_alpha 90.00
_cell_angle_beta 90.00
_cell_angle_gamma 90.00
_symmetry_space_group_name_H-M 'P 4/m m m'
_symmetry_Int_Tables_number 123
_symmetry_space_group_name_Hall '-P 4 2'
loop_
_atom_site_label
_atom_site_type_symbol
_atom_site_fract_x
_atom_site_fract_y
_atom_site_fract_z
_atom_site_occupancy
Sr1 Sr 0.0000 0.0000 0.0000 1
Zn1 Zn 0.5000 0.5000 0.0000 1
Re1 Re 0.0000 0.5000 0.5000 1
Mo1 Mo 0.5000 0.5000 0.5000 1
# M_tot   1.16 Bohr magnetons per cell
# Crystal system   tetragonal
# ΔH_f (0 K)   1.2012 eV per atom

- The highest M_tot belongs to which entry?
  number 8

- Which of these has the highest M_tot?
  number 8

- What is the M_tot in the eighth record?
  21.84 Bohr magnetons per cell

- Which formula does entry 7 have?
  SrRe2Mo